i | Entry from Alexandria: an optimized crystal structure of Y3Cu5 (PBE-GGA).

Unit cell a=6.8153 b=9.4558 c=4.7761 alpha=90.00 beta=90.00 gamma=90.00
Last column: nearest neighbours and their distance in Å.
Space group Cmmm (No. 65)
One atom of each set of equivalent atoms:
Y1 0.0000 0.0000 0.0000  8 Cu 2.76-2.91
Y2 0.0000 0.2893 0.5000  10 Cu 2.84-3.11
Cu1 0.0000 0.5000 0.0000  8 Cu 2.91-3.13, 4 Y 3.11
Cu2 0.2037 0.0000 0.5000  6 Y 2.76-3.07, 1 Cu 2.78
Cu3 0.2500 0.2500 0.0000  2 Cu 2.91, 6 Y 2.91-2.96

Output
- D(E_F): 12.01 states/eV/cell



ii | Entry from Alexandria: an optimized crystal structure of Y3Cu5 (PBE-GGA).

Unit cell a=7.5332 b=5.4023 c=7.8505 alpha=90.00 beta=105.17 gamma=90.00
Last column: nearest neighbours and their distance in Å.
Space group P2_1/m (No. 11)
One atom of each set of equivalent atoms:
Y1 0.0161 0.2500 0.2573  7 Cu 2.81-3.05
Y2 0.2659 0.2500 0.9280  6 Cu 2.73-3.06
Y3 0.3459 0.7500 0.2448  9 Cu 2.90-3.15
Cu1 0.0129 0.7500 0.3931  4 Cu 2.54-2.60, 2 Y 2.81-2.83
Cu2 0.2754 0.0077 0.5782  7 Cu 2.53-2.78
Cu3 0.3848 0.7500 0.8555  3 Cu 2.53-2.55, 1 Y 2.73
Cu4 0.4305 0.2500 0.3742  5 Cu 2.55-2.57

Output
- D(E_F): 12.34 states/eV/cell



Which of them is the most stable? Correct choice: ii.



i | Entry from Alexandria: an optimized crystal structure of Y3Cu2 (PBE-GGA).

Unit cell a=3.8443 b=3.8443 c=30.6432 alpha=90.00 beta=90.00 gamma=120.00
Last column: nearest neighbours and their distance in Å.
Space group R-3m (No. 166, hexagonal axes)
One atom of each set of equivalent atoms:
Y1 0.0000 0.0000 0.0000  6 Cu 2.88
Y2 0.0000 0.0000 0.2152  3 Cu 2.85
Cu1 0.0000 0.0000 0.3932  6 Y 2.85-2.88

Output
- D(E_F): 18.72 states/eV/cell



ii | Entry from Alexandria: an optimized crystal structure of Y3Cu2 (PBE-GGA).

Unit cell a=4.4956 b=14.2449 c=3.7988 alpha=90.00 beta=90.00 gamma=90.00
Last column: nearest neighbours and their distance in Å.
Space group Cmmm (No. 65)
One atom of each set of equivalent atoms:
Y1 0.0000 0.0000 0.0000  2 Cu 2.89
Y2 0.0000 0.3538 0.5000  6 Cu 2.87-3.05
Cu1 0.0000 0.2027 0.0000  2 Cu 2.62, 3 Y 2.87-2.89

Output
- D(E_F): 8.79 states/eV/cell



Which of them is the most stable? Correct choice: ii.



i | Entry from Alexandria: an optimized crystal structure of YCu6 (PBE-GGA).

Unit cell a=5.4771 b=5.4771 c=5.4771 alpha=90.00 beta=90.00 gamma=90.00
Last column: nearest neighbours and their distance in Å.
Space group Pm-3m (No. 221)
One atom of each set of equivalent atoms:
Y1 0.0000 0.0000 0.0000  24 Cu 4.02
Cu1 0.1975 0.5000 0.5000  5 Cu 2.16-2.34

Output
- D(E_F): 6.17 states/eV/cell



ii | Entry from Alexandria: an optimized crystal structure of YCu6 (PBE-GGA).

Unit cell a=7.9776 b=5.0603 c=10.0309 alpha=90.00 beta=90.00 gamma=90.00
Last column: nearest neighbours and their distance in Å.
Space group Pnma (No. 62)
One atom of each set of equivalent atoms:
Y1 0.2413 0.2500 0.0642  13 Cu 2.87-3.20
Cu1 0.0649 0.7500 0.0933  5 Cu 2.48-2.60
Cu2 0.0655 0.0070 0.3087  9 Cu 2.45-2.66
Cu3 0.1000 0.2500 0.5178  6 Cu 2.45-2.60
Cu4 0.1462 0.7500 0.8551  8 Cu 2.48-2.73
Cu5 0.1826 0.2500 0.7571  9 Cu 2.45-2.73

Output
- D(E_F): 9.25 states/eV/cell



Which of them is the most stable? Correct choice: ii.



i | Entry from Alexandria: an optimized crystal structure of Y3ZnCu (PBE-GGA).

Unit cell a=5.0190 b=19.2646 c=5.0178 alpha=90.00 beta=90.00 gamma=90.00
Last column: nearest neighbours and their distance in Å.
Space group Cmcm (No. 63)
One atom of each set of equivalent atoms:
Y1 0.0000 0.0684 0.2500  2 Zn 3.05, 2 Cu 3.09
Y2 0.0000 0.2492 0.2500  4 Cu 3.02-3.04, 4 Zn 3.06-3.08
Y3 0.0000 0.4297 0.2500  2 Zn 3.03, 2 Cu 3.07
Zn1 0.0000 0.1582 0.7500  8 Y 3.03-3.08
Cu1 0.0000 0.3381 0.7500  8 Y 3.02-3.09

Output
- D(E_F): 21.79 states/eV/cell



ii | Entry from Alexandria: an optimized crystal structure of Y3ZnCu (PBE-GGA).

Unit cell a=5.2963 b=5.2963 c=5.2963 alpha=90.00 beta=90.00 gamma=90.00
Last column: nearest neighbours and their distance in Å.
Space group Pm-3m (No. 221)
One atom of each set of equivalent atoms:
Y1 0.0000 0.0000 0.5000  2 Cu 2.65
Zn1 0.5000 0.5000 0.5000  12 Y 3.75
Cu1 0.0000 0.0000 0.0000  6 Y 2.65

Output
- D(E_F): 5.91 states/eV/cell



Which of them is the most stable? Correct choice: i.



i | Entry from Alexandria: an optimized crystal structure of YZnCu3 (PBE-GGA).

Unit cell a=4.0888 b=4.0888 c=10.0207 alpha=90.00 beta=90.00 gamma=90.00
Last column: nearest neighbours and their distance in Å.
Space group I4mm (No. 107)
One atom of each set of equivalent atoms:
Y1 0.0000 0.0000 0.0000  12 Cu 3.10-3.29, 4 Zn 3.15
Zn1 0.0000 0.0000 0.6245  5 Cu 2.36-2.44
Cu1 0.0000 0.0000 0.3886  1 Zn 2.36, 4 Cu 2.43
Cu2 0.0000 0.5000 0.2577  2 Cu 2.43, 2 Zn 2.44

Output
- D(E_F): 5.23 states/eV/cell



ii | Entry from Alexandria: an optimized crystal structure of YZnCu3 (PBE-GGA).

Unit cell a=4.5123 b=4.5123 c=4.5123 alpha=90.00 beta=90.00 gamma=90.00
Last column: nearest neighbours and their distance in Å.
Space group Pm-3m (No. 221)
One atom of each set of equivalent atoms:
Y1 0.0000 0.0000 0.0000  12 Cu 3.19
Zn1 0.5000 0.5000 0.5000  6 Cu 2.26
Cu1 0.0000 0.5000 0.5000  2 Zn 2.26

Output
- D(E_F): 3.15 states/eV/cell



iii | Entry from Alexandria: an optimized crystal structure of YZnCu3 (PBE-GGA).

Unit cell a=5.1991 b=5.1991 c=5.1991 alpha=90.00 beta=90.00 gamma=90.00
Last column: nearest neighbours and their distance in Å.
Space group Pm-3m (No. 221)
One atom of each set of equivalent atoms:
Y1 0.0000 0.0000 0.0000  6 Cu 2.60
Zn1 0.5000 0.5000 0.5000  12 Cu 3.68
Cu1 0.0000 0.0000 0.5000  2 Y 2.60

Output
- D(E_F): 1.68 states/eV/cell



Which of them is the most stable? Correct choice: i.



i | Entry from Alexandria: an optimized crystal structure of Y4ZnCu (PBE-GGA).

Unit cell a=3.5327 b=3.5327 c=12.4310 alpha=90.00 beta=90.00 gamma=90.00
Last column: nearest neighbours and their distance in Å.
Space group P4/mmm (No. 123)
One atom of each set of equivalent atoms:
Y1 0.0000 0.0000 0.1377  4 Cu 3.03
Y2 0.5000 0.5000 0.3571  4 Zn 3.06
Zn1 0.0000 0.0000 0.5000  8 Y 3.06
Cu1 0.5000 0.5000 0.0000  8 Y 3.03

Output
- D(E_F): 8.19 states/eV/cell



ii | Entry from Alexandria: an optimized crystal structure of Y4ZnCu (PBE-GGA).

Unit cell a=4.9062 b=4.9062 c=6.9767 alpha=90.00 beta=90.00 gamma=90.00
Last column: nearest neighbours and their distance in Å.
Space group P4/mmm (No. 123)
One atom of each set of equivalent atoms:
Y1 0.0000 0.5000 0.2446  2 Cu 2.99, 2 Zn 3.03
Zn1 0.0000 0.0000 0.5000  8 Y 3.03
Cu1 0.5000 0.5000 0.0000  8 Y 2.99

Output
- D(E_F): 7.05 states/eV/cell



Which of them is the most stable? Correct choice: i.



i | Entry from Alexandria: an optimized crystal structure of YZn9Cu2 (PBE-GGA).

Unit cell a=10.4926 b=10.4926 c=6.6962 alpha=90.00 beta=90.00 gamma=90.00
Last column: nearest neighbours and their distance in Å.
Space group I4_1/amd (No. 141, origin choice 2)
One atom of each set of equivalent atoms:
Y1 0.0000 0.2500 0.3750  18 Zn 3.22-3.38
Zn1 0.0000 0.2500 0.8750  4 Cu 2.75, 8 Zn 2.81
Zn2 0.1212 0.0462 0.6810  2 Cu 2.53-2.57, 6 Zn 2.54-2.81
Cu1 0.0000 0.0000 0.0000  10 Zn 2.53-2.75

Output
- D(E_F): 9.31 states/eV/cell



ii | Entry from Alexandria: an optimized crystal structure of YZn9Cu2 (PBE-GGA).

Unit cell a=8.5002 b=8.5002 c=3.0184 alpha=90.00 beta=90.00 gamma=120.00
Last column: nearest neighbours and their distance in Å.
Space group P6/mmm (No. 191)
One atom of each set of equivalent atoms:
Y1 0.0000 0.0000 0.0000  2 Y 3.02, 12 Zn 3.14
Zn1 0.0000 0.5000 0.0000  2 Cu 2.45
Zn2 0.1869 0.3738 0.5000  2 Cu 2.63, 6 Zn 2.75-2.77
Cu1 0.3333 0.6667 0.0000  9 Zn 2.45-2.63

Output
- D(E_F): 3.22 states/eV/cell



Which of them is the most stable? Correct choice: i.



i | Entry from Alexandria: an optimized crystal structure of YZr2Cu2 (PBE-GGA).

Unit cell a=7.8160 b=7.8160 c=3.2893 alpha=90.00 beta=90.00 gamma=90.00
Last column: nearest neighbours and their distance in Å.
Space group P4/mbm (No. 127)
One atom of each set of equivalent atoms:
Y1 0.0000 0.0000 0.0000  4 Cu 3.10, 2 Y 3.29, 8 Zr 3.34
Zr1 0.1675 0.3325 0.5000  6 Cu 2.82-2.85
Cu1 0.1223 0.6223 0.0000  1 Cu 2.70, 6 Zr 2.82-2.85

Output
- D(E_F): 14.53 states/eV/cell



ii | Entry from Alexandria: an optimized crystal structure of YZr2Cu2 (PBE-GGA).

Unit cell a=4.6572 b=4.6572 c=10.4458 alpha=90.00 beta=90.00 gamma=90.00
Last column: nearest neighbours and their distance in Å.
Space group I4/mmm (No. 139)
One atom of each set of equivalent atoms:
Y1 0.0000 0.0000 0.0000  8 Cu 3.50, 10 Zr 3.62-3.72
Zr1 0.0000 0.0000 0.3563  4 Cu 2.58
Cu1 0.0000 0.5000 0.2500  4 Zr 2.58

Output
- D(E_F): 9.63 states/eV/cell



Which of them is the most stable? Correct choice: i.



i | Entry from Alexandria: an optimized crystal structure of YZr2Cu (PBE-GGA).

Unit cell a=3.2981 b=3.2981 c=8.1121 alpha=90.00 beta=90.00 gamma=90.00
Last column: nearest neighbours and their distance in Å.
Space group P4/mmm (No. 123)
One atom of each set of equivalent atoms:
Y1 0.0000 0.0000 0.0000  4 Y 3.30, 8 Zr 3.34
Zr1 0.5000 0.5000 0.2948  4 Cu 2.87
Cu1 0.0000 0.0000 0.5000  8 Zr 2.87

Output
- D(E_F): 5.16 states/eV/cell



ii | Entry from Alexandria: an optimized crystal structure of YZr2Cu (PBE-GGA).

Unit cell a=3.4006 b=5.0482 c=10.3646 alpha=90.00 beta=90.00 gamma=90.00
Last column: nearest neighbours and their distance in Å.
Space group Imm2 (No. 44)
One atom of each set of equivalent atoms:
Y1 0.0000 0.0000 0.0000  2 Cu 2.90, 4 Zr 3.13
Zr1 0.0000 0.0000 0.4304  2 Cu 2.71
Zr2 0.0000 0.5000 0.2126  4 Cu 3.05, 2 Y 3.35, 6 Zr 3.38-3.40
Cu1 0.0000 0.5000 0.7271  2 Zr 2.71, 2 Y 2.90

Output
- D(E_F): 9.27 states/eV/cell



iii | Entry from Alexandria: an optimized crystal structure of YZr2Cu (PBE-GGA).

Unit cell a=3.3041 b=3.3041 c=8.1803 alpha=90.00 beta=90.00 gamma=90.00
Last column: nearest neighbours and their distance in Å.
Space group P4mm (No. 99)
One atom of each set of equivalent atoms:
Y1 0.0000 0.0000 0.0000  4 Cu 3.06, 4 Y 3.30
Zr1 0.0000 0.0000 0.5660  4 Cu 2.82, 4 Zr 3.14
Zr2 0.5000 0.5000 0.3092  8 Zr 3.14-3.30, 4 Y 3.44
Cu1 0.5000 0.5000 0.7592  4 Zr 2.82, 4 Y 3.06

Output
- D(E_F): 4.48 states/eV/cell



Which of them is the most stable? Correct choice: iii.



i | Entry from Alexandria: an optimized crystal structure of YZr2Cu (PBE-GGA).

Unit cell a=3.3223 b=4.9895 c=10.8362 alpha=90.00 beta=90.00 gamma=90.00
Last column: nearest neighbours and their distance in Å.
Space group Immm (No. 71)
One atom of each set of equivalent atoms:
Y1 0.0000 0.0000 0.0000  4 Cu 3.00, 2 Y 3.32
Zr1 0.0000 0.5000 0.2124  2 Cu 2.84, 4 Zr 3.11
Cu1 0.0000 0.0000 0.5000  4 Zr 2.84, 4 Y 3.00

Output
- D(E_F): 7.76 states/eV/cell



ii | Entry from Alexandria: an optimized crystal structure of YZr2Cu (PBE-GGA).

Unit cell a=4.1176 b=4.1176 c=21.5740 alpha=90.00 beta=90.00 gamma=90.00
Last column: nearest neighbours and their distance in Å.
Space group I-42d (No. 122)
One atom of each set of equivalent atoms:
Y1 0.0000 0.0000 0.0000  4 Cu 2.91, 4 Zr 3.09
Zr1 0.2322 0.2500 0.6250  4 Zr 2.81-3.02, 2 Cu 3.04, 2 Y 3.09
Cu1 0.0000 0.0000 0.5000  4 Y 2.91, 4 Zr 3.04

Output
- D(E_F): 12.94 states/eV/cell



iii | Entry from Alexandria: an optimized crystal structure of YZr2Cu (PBE-GGA).

Unit cell a=6.9997 b=6.9997 c=6.9997 alpha=90.00 beta=90.00 gamma=90.00
Last column: nearest neighbours and their distance in Å.
Space group Fm-3m (No. 225)
One atom of each set of equivalent atoms:
Y1 0.0000 0.0000 0.0000  8 Zr 3.03
Zr1 0.2500 0.2500 0.2500  4 Cu 3.03, 4 Y 3.03
Cu1 0.0000 0.0000 0.5000  8 Zr 3.03

Output
- D(E_F): 18.98 states/eV/cell



Which of them is the most stable? Correct choice: i.